Entry from the Alexandria database: an optimized crystal structure of AcGaSe2 (PBE-GGA).

## Properties
- Calculated density: 6.89 g/cm3
- Space-group type: No. 11
- Raw formation energy: -1.390 eV/atom
- VASP energy: -4.916 eV per atom
- Total magnetic moment: 0.000 μB per atom

Cell lengths 6.099, 4.544, 8.416 Å; angles 90.00, 110.02, 90.00 degrees
Atoms (fractional coordinates):
Ac 0.153 0.250 0.297
Ac 0.847 0.750 0.703
Ga 0.289 0.250 0.819
Ga 0.711 0.750 0.181
Se 0.269 0.750 0.070
Se 0.289 0.750 0.577
Se 0.711 0.250 0.423
Se 0.731 0.250 0.930